Computed, not measured: a geometry-optimized DyUHg structure at the PBE level of DFT.

Structure (CIF):
```
data_DyUHg
_chemical_formula_sum 'Dy4 U4 Hg4'
_space_group_name_H-M_alt 'F -4 3 m'
_space_group_IT_number 216
_space_group_name_Hall 'F -4 2 3'
_cell_length_a 7.213
_cell_length_b 7.213
_cell_length_c 7.213
_cell_angle_alpha 90.00
_cell_angle_beta 90.00
_cell_angle_gamma 90.00
loop_
_atom_site_label
_atom_site_fract_x
_atom_site_fract_y
_atom_site_fract_z
Dy1 0.000 0.000 0.000
U1 0.000 0.000 0.500
Hg1 0.250 0.250 0.250
```

Properties
E above lowest polymorph (meV per atom): 0
Formation energy (meV/atom): 598